# Cs4Rb2Co2O5 (PBE with a Hubbard U, optimized geometry)
data_Cs4Rb2Co2O5
_chemical_formula_sum 'Cs4 Rb2 Co2 O5'
_cell_length_a 7.0168
_cell_length_b 7.0168
_cell_length_c 7.1185
_cell_angle_alpha 91.96
_cell_angle_beta 91.96
_cell_angle_gamma 116.68
_symmetry_space_group_name_H-M 'P 1'
_symmetry_Int_Tables_number 1
_symmetry_space_group_name_Hall 'P 1'
loop_
_atom_site_label
_atom_site_type_symbol
_atom_site_fract_x
_atom_site_fract_y
_atom_site_fract_z
Co1 Co 0.1466 0.1466 0.1235
Co2 Co 0.5490 0.5490 0.4775
O1 O 0.5279 0.7884 0.5846
O2 O 0.9170 0.1922 0.0655
O3 O 0.1922 0.9170 0.0655
O4 O 0.7884 0.5279 0.5846
O5 O 0.3804 0.3804 0.2756
Rb1 Rb 0.5863 0.1122 0.3157
Rb2 Rb 0.1122 0.5863 0.3157
Cs1 Cs 0.1469 0.5619 0.8139
Cs2 Cs 0.9952 0.9952 0.6062
Cs3 Cs 0.6996 0.6996 0.0123
Cs4 Cs 0.5619 0.1469 0.8139
# Volume   24.04 Å³ per atom
# Total moment   6.0 μB/cell
# E_tot   -54.88 eV per cell
# Energy above the lowest structure with this stoichiometry   2 meV/atom